DFT (GGA-PBE) results for SmIBr2 after structural relaxation.

E_form (uncorrected): -1.679 eV/atom
relative energy among the computed polymorphs: 0.012 eV per atom
V: 185.1 Å³/cell
density of states at the Fermi level: 0.00 states/eV/atom

The structure in CIF format:
```
data_SmIBr2
_chemical_formula_sum 'Sm1 I1 Br2'
_symmetry_space_group_name_H-M 'P 1'
_symmetry_Int_Tables_number 1
_cell_length_a 7.4649
_cell_length_b 7.4649
_cell_length_c 7.4649
_cell_angle_alpha 149.51
_cell_angle_beta 71.38
_cell_angle_gamma 117.23
loop_
_symmetry_equiv_pos_as_xyz
'x,y,z'
loop_
_atom_site_label
_atom_site_type_symbol
_atom_site_fract_x
_atom_site_fract_y
_atom_site_fract_z
Sm1 Sm 0.0000 0.0000 0.0000
I1 I 0.3092 0.8092 0.5000
Br1 Br 0.0189 0.3660 0.6529
Br2 Br 0.7130 0.3660 0.3471
```

DFT (GGA-PBE) results for SmIBr after structural relaxation.

E_form (uncorrected): -1.456 eV/atom
relative energy among the computed polymorphs: 0.000 eV per atom
V: 233.1 Å³/cell
density of states at the Fermi level: 0.46 states/eV/atom

The structure in CIF format:
```
data_SmIBr
_chemical_formula_sum 'Sm2 I2 Br2'
_symmetry_space_group_name_H-M 'P 1'
_symmetry_Int_Tables_number 1
_cell_length_a 7.0014
_cell_length_b 4.1097
_cell_length_c 8.1466
_cell_angle_alpha 90.00
_cell_angle_beta 95.97
_cell_angle_gamma 90.00
loop_
_symmetry_equiv_pos_as_xyz
'x,y,z'
loop_
_atom_site_label
_atom_site_type_symbol
_atom_site_fract_x
_atom_site_fract_y
_atom_site_fract_z
Sm1 Sm 0.0000 0.0000 0.0000
Sm2 Sm 0.5000 0.5000 0.0000
I1 I 0.1967 0.5000 0.2593
I2 I 0.8033 0.5000 0.7407
Br1 Br 0.3105 0.0000 0.7809
Br2 Br 0.6895 0.0000 0.2191
```

DFT (GGA-PBE) results for SmIBr after structural relaxation.

E_form (uncorrected): -1.319 eV/atom
relative energy among the computed polymorphs: 0.137 eV per atom
V: 225.1 Å³/cell
density of states at the Fermi level: 0.45 states/eV/atom

The structure in CIF format:
```
data_SmIBr
_chemical_formula_sum 'Sm2 I2 Br2'
_symmetry_space_group_name_H-M 'P 1'
_symmetry_Int_Tables_number 1
_cell_length_a 7.2121
_cell_length_b 7.2121
_cell_length_c 7.2121
_cell_angle_alpha 129.48
_cell_angle_beta 76.38
_cell_angle_gamma 126.85
loop_
_symmetry_equiv_pos_as_xyz
'x,y,z'
loop_
_atom_site_label
_atom_site_type_symbol
_atom_site_fract_x
_atom_site_fract_y
_atom_site_fract_z
Sm1 Sm 0.3052 0.0552 0.2500
Sm2 Sm 0.6948 0.9448 0.7500
I1 I 0.2138 0.4638 0.7500
I2 I 0.7862 0.5362 0.2500
Br1 Br 0.0000 0.0000 0.0000
Br2 Br 0.5000 0.0000 0.5000
```

DFT (GGA-PBE) results for SmI3Br after structural relaxation.

E_form (uncorrected): -1.108 eV/atom
V: 438.3 Å³/cell
density of states at the Fermi level: 0.33 states/eV/atom

The structure in CIF format:
```
data_SmI3Br
_chemical_formula_sum 'Sm2 I6 Br2'
_symmetry_space_group_name_H-M 'P 1'
_symmetry_Int_Tables_number 1
_cell_length_a 8.7865
_cell_length_b 8.7865
_cell_length_c 8.7865
_cell_angle_alpha 83.06
_cell_angle_beta 130.08
_cell_angle_gamma 118.49
loop_
_symmetry_equiv_pos_as_xyz
'x,y,z'
loop_
_atom_site_label
_atom_site_type_symbol
_atom_site_fract_x
_atom_site_fract_y
_atom_site_fract_z
Sm1 Sm 0.2223 0.2500 0.4723
Sm2 Sm 0.7777 0.7500 0.5277
I1 I 0.2258 0.0114 0.2376
I2 I 0.2258 0.4882 0.7144
I3 I 0.6960 0.9786 0.2174
I4 I 0.7611 0.4786 0.7826
I5 I 0.7738 0.5114 0.2856
I6 I 0.7738 0.9882 0.7624
Br1 Br 0.2559 0.0174 0.7385
Br2 Br 0.2789 0.5174 0.2615
```

DFT (GGA-PBE) results for Sm2I2Br3 after structural relaxation.

E_form (uncorrected): -1.392 eV/atom
V: 301.9 Å³/cell
density of states at the Fermi level: 0.25 states/eV/atom

The structure in CIF format:
```
data_Sm2I2Br3
_chemical_formula_sum 'Sm2 I2 Br3'
_symmetry_space_group_name_H-M 'P 1'
_symmetry_Int_Tables_number 1
_cell_length_a 4.5276
_cell_length_b 4.5055
_cell_length_c 14.9748
_cell_angle_alpha 90.00
_cell_angle_beta 98.73
_cell_angle_gamma 90.00
loop_
_symmetry_equiv_pos_as_xyz
'x,y,z'
loop_
_atom_site_label
_atom_site_type_symbol
_atom_site_fract_x
_atom_site_fract_y
_atom_site_fract_z
Sm1 Sm 0.1024 0.0000 0.1983
Sm2 Sm 0.8976 0.0000 0.8017
I1 I 0.4070 0.5000 0.8194
I2 I 0.5930 0.5000 0.1806
Br1 Br 0.0000 0.0000 0.0000
Br2 Br 0.1900 0.0000 0.3757
Br3 Br 0.8100 0.0000 0.6243
```

DFT (GGA-PBE) results for SmIBr2 after structural relaxation.

E_form (uncorrected): -1.692 eV/atom
relative energy among the computed polymorphs: 0.000 eV per atom
V: 354.4 Å³/cell
density of states at the Fermi level: 0.00 states/eV/atom

The structure in CIF format:
```
data_SmIBr2
_chemical_formula_sum 'Sm2 I2 Br4'
_symmetry_space_group_name_H-M 'P 1'
_symmetry_Int_Tables_number 1
_cell_length_a 7.5525
_cell_length_b 7.5525
_cell_length_c 7.6506
_cell_angle_alpha 105.53
_cell_angle_beta 105.53
_cell_angle_gamma 112.20
loop_
_symmetry_equiv_pos_as_xyz
'x,y,z'
loop_
_atom_site_label
_atom_site_type_symbol
_atom_site_fract_x
_atom_site_fract_y
_atom_site_fract_z
Sm1 Sm 0.0901 0.9099 0.5000
Sm2 Sm 0.9099 0.0901 0.0000
I1 I 0.6774 0.8580 0.2142
I2 I 0.8580 0.6774 0.7142
Br1 Br 0.0027 0.5079 0.2331
Br2 Br 0.1447 0.2756 0.7962
Br3 Br 0.2756 0.1447 0.2962
Br4 Br 0.5079 0.0027 0.7331
```

DFT (GGA-PBE) results for SnI2Br2 after structural relaxation.

E_form (uncorrected): -0.234 eV/atom
V: 489.5 Å³/cell
density of states at the Fermi level: 0.36 states/eV/atom

The structure in CIF format:
```
data_SnI2Br2
_chemical_formula_sum 'Sn2 I4 Br4'
_symmetry_space_group_name_H-M 'P 1'
_symmetry_Int_Tables_number 1
_cell_length_a 7.8366
_cell_length_b 7.8366
_cell_length_c 7.9715
_cell_angle_alpha 90.00
_cell_angle_beta 90.00
_cell_angle_gamma 90.00
loop_
_symmetry_equiv_pos_as_xyz
'x,y,z'
loop_
_atom_site_label
_atom_site_type_symbol
_atom_site_fract_x
_atom_site_fract_y
_atom_site_fract_z
Sn1 Sn 0.0000 0.0000 0.0000
Sn2 Sn 0.5000 0.5000 0.0000
I1 I 0.1218 0.3782 0.5000
I2 I 0.3782 0.8782 0.5000
I3 I 0.6218 0.1218 0.5000
I4 I 0.8782 0.6218 0.5000
Br1 Br 0.1821 0.6821 0.0000
Br2 Br 0.3179 0.1821 0.0000
Br3 Br 0.6821 0.8179 0.0000
Br4 Br 0.8179 0.3179 0.0000
```

DFT (GGA-PBE) results for Sn3I2Br4 after structural relaxation.

E_form (uncorrected): -0.585 eV/atom
V: 368.6 Å³/cell
density of states at the Fermi level: 0.00 states/eV/atom

The structure in CIF format:
```
data_Sn3I2Br4
_chemical_formula_sum 'Sn3 I2 Br4'
_symmetry_space_group_name_H-M 'P 1'
_symmetry_Int_Tables_number 1
_cell_length_a 4.2798
_cell_length_b 4.2798
_cell_length_c 23.2368
_cell_angle_alpha 90.00
_cell_angle_beta 90.00
_cell_angle_gamma 120.00
loop_
_symmetry_equiv_pos_as_xyz
'x,y,z'
loop_
_atom_site_label
_atom_site_type_symbol
_atom_site_fract_x
_atom_site_fract_y
_atom_site_fract_z
Sn1 Sn 0.0000 0.0000 0.0000
Sn2 Sn 0.0000 0.0000 0.3549
Sn3 Sn 0.6667 0.3333 0.6682
I1 I 0.6667 0.3333 0.0889
I2 I 0.6667 0.3333 0.9111
Br1 Br 0.0000 0.0000 0.5902
Br2 Br 0.0000 0.0000 0.7462
Br3 Br 0.6667 0.3333 0.2770
Br4 Br 0.6667 0.3333 0.4329
```

DFT (GGA-PBE) results for SnIBr2 after structural relaxation.

E_form (uncorrected): -0.345 eV/atom
relative energy among the computed polymorphs: 0.006 eV per atom
V: 177.9 Å³/cell
density of states at the Fermi level: 0.86 states/eV/atom

The structure in CIF format:
```
data_SnIBr2
_chemical_formula_sum 'Sn1 I1 Br2'
_symmetry_space_group_name_H-M 'P 1'
_symmetry_Int_Tables_number 1
_cell_length_a 12.5044
_cell_length_b 12.5044
_cell_length_c 12.5044
_cell_angle_alpha 18.83
_cell_angle_beta 18.83
_cell_angle_gamma 18.83
loop_
_symmetry_equiv_pos_as_xyz
'x,y,z'
loop_
_atom_site_label
_atom_site_type_symbol
_atom_site_fract_x
_atom_site_fract_y
_atom_site_fract_z
Sn1 Sn 0.0000 0.0000 0.0000
I1 I 0.5000 0.5000 0.5000
Br1 Br 0.3829 0.3829 0.3829
Br2 Br 0.6171 0.6171 0.6171
```